# Na2CaInF (GGA-PBE, relaxed)
data_Na2CaInF
_symmetry_space_group_name_H-M 'P 4/m m m'
_symmetry_Int_Tables_number 123
_symmetry_space_group_name_Hall '-P 4 2'
_cell_length_a 5.087
_cell_length_b 5.087
_cell_length_c 4.609
_cell_angle_alpha 90.00
_cell_angle_beta 90.00
_cell_angle_gamma 90.00
loop_
_atom_site_label
_atom_site_type_symbol
_atom_site_fract_x
_atom_site_fract_y
_atom_site_fract_z
Na1 Na 0.000 0.500 0.000
Ca1 Ca 0.000 0.000 0.500
In1 In 0.500 0.500 0.500
F1 F 0.000 0.000 0.000
# - raw total energy (eV/cell) = -15.17
# - spin magnetization (μB/cell) = 0.00
# - energy relative to the elements, uncorrected (eV/atom) = -1.183
# - N(E_F) (states/eV per atom) = 0.341
# - density (g cm⁻³) = 3.061



# Ac2Sm5Er5 (GGA-PBE, relaxed)
data_Ac2Sm5Er5
_symmetry_space_group_name_H-M 'C 1 2/m 1'
_symmetry_Int_Tables_number 12
_cell_length_a 18.797
_cell_length_b 3.664
_cell_length_c 12.031
_cell_angle_alpha 90.00
_cell_angle_beta 100.33
_cell_angle_gamma 90.00
loop_
_symmetry_equiv_pos_as_xyz
'x,y,z'
'-x,-y,-z'
'-x,y,-z'
'x,-y,z'
'x+1/2,y+1/2,z'
'-x+1/2,-y+1/2,-z'
'-x+1/2,y+1/2,-z'
'x+1/2,-y+1/2,z'
loop_
_atom_site_label
_atom_site_type_symbol
_atom_site_fract_x
_atom_site_fract_y
_atom_site_fract_z
Ac1 Ac 0.085 0.000 0.252
Sm1 Sm 0.000 0.500 0.000
Sm2 Sm 0.087 0.500 0.751
Sm3 Sm 0.168 0.500 0.507
Er1 Er 0.000 0.000 0.500
Er2 Er 0.169 0.000 0.999
Er3 Er 0.247 0.000 0.756
# - raw total energy (eV/cell) = -108.36
# - spin magnetization (μB/cell) = 0.00
# - ΔH_f (0 K) (eV/f.u.) = 0.447
# - N(E_F) (states/eV per atom) = 1.331
# - density (g cm⁻³) = 8.320



# Li6Hg5Bi (GGA-PBE, relaxed)
data_Li6Hg5Bi
_symmetry_space_group_name_H-M 'C 1 2/m 1'
_symmetry_Int_Tables_number 12
_cell_length_a 8.356
_cell_length_b 14.320
_cell_length_c 4.679
_cell_angle_alpha 90.00
_cell_angle_beta 123.70
_cell_angle_gamma 90.00
loop_
_symmetry_equiv_pos_as_xyz
'x,y,z'
'-x,-y,-z'
'-x,y,-z'
'x,-y,z'
'x+1/2,y+1/2,z'
'-x+1/2,-y+1/2,-z'
'-x+1/2,y+1/2,-z'
'x+1/2,-y+1/2,z'
loop_
_atom_site_label
_atom_site_type_symbol
_atom_site_fract_x
_atom_site_fract_y
_atom_site_fract_z
Li1 Li 0.242 0.000 0.243
Li2 Li 0.246 0.168 0.746
Hg1 Hg 0.000 0.000 0.500
Hg2 Hg 0.000 0.164 0.000
Hg3 Hg 0.000 0.329 0.500
Bi1 Bi 0.000 0.500 0.000
# - raw total energy (eV/cell) = -42.82
# - spin magnetization (μB/cell) = 0.00
# - ΔH_f (0 K) (eV/f.u.) = -4.535
# - N(E_F) (states/eV per atom) = 0.286
# - density (g cm⁻³) = 8.938



# Ba2Tl8Cd (GGA-PBE, relaxed)
data_Ba2Tl8Cd
_symmetry_space_group_name_H-M 'P 4/m m m'
_symmetry_Int_Tables_number 123
_symmetry_space_group_name_Hall '-P 4 2'
_cell_length_a 5.258
_cell_length_b 5.258
_cell_length_c 13.149
_cell_angle_alpha 90.00
_cell_angle_beta 90.00
_cell_angle_gamma 90.00
loop_
_atom_site_label
_atom_site_type_symbol
_atom_site_fract_x
_atom_site_fract_y
_atom_site_fract_z
Ba1 Ba 0.000 0.000 0.191
Tl1 Tl 0.000 0.500 0.000
Tl2 Tl 0.000 0.500 0.373
Tl3 Tl 0.500 0.500 0.191
Cd1 Cd 0.000 0.000 0.500
# - raw total energy (eV/cell) = -25.64
# - spin magnetization (μB/cell) = 0.00
# - ΔH_f (0 K) (eV/f.u.) = -1.948
# - N(E_F) (states/eV per atom) = 0.621
# - density (g cm⁻³) = 9.237



# Pm4Ga5Pd2 (GGA-PBE, relaxed)
data_Pm4Ga5Pd2
_symmetry_space_group_name_H-M 'P 1 2/m 1'
_symmetry_Int_Tables_number 10
_cell_length_a 7.247
_cell_length_b 3.753
_cell_length_c 9.291
_cell_angle_alpha 90.00
_cell_angle_beta 93.97
_cell_angle_gamma 90.00
loop_
_symmetry_equiv_pos_as_xyz
'x,y,z'
'-x,-y,-z'
'-x,y,-z'
'x,-y,z'
loop_
_atom_site_label
_atom_site_type_symbol
_atom_site_fract_x
_atom_site_fract_y
_atom_site_fract_z
Pm1 Pm 0.183 0.000 0.376
Pm2 Pm 0.255 0.000 0.936
Ga1 Ga 0.194 0.500 0.659
Ga2 Ga 0.447 0.500 0.198
Ga3 Ga 0.500 0.500 0.500
Pd1 Pd 0.071 0.500 0.143
# - raw total energy (eV/cell) = -51.40
# - spin magnetization (μB/cell) = 0.00
# - ΔH_f (0 K) (eV/f.u.) = -6.874
# - N(E_F) (states/eV per atom) = 0.711
# - density (g cm⁻³) = 7.518



# Ba2Mg (GGA-PBE, relaxed)
data_Ba2Mg
_symmetry_space_group_name_H-M 'P 63/m m c'
_symmetry_Int_Tables_number 194
_symmetry_space_group_name_Hall '-P 6c 2c'
_cell_length_a 6.4373
_cell_length_b 6.4373
_cell_length_c 8.0205
_cell_angle_alpha 90.00
_cell_angle_beta 90.00
_cell_angle_gamma 120.00
loop_
_atom_site_label
_atom_site_type_symbol
_atom_site_fract_x
_atom_site_fract_y
_atom_site_fract_z
Ba1 Ba 0.0000 0.0000 0.0000
Ba2 Ba 0.3333 0.6667 0.2500
Mg1 Mg 0.3333 0.6667 0.7500
# - raw total energy (eV/cell) = -10.79
# - spin magnetization (μB/cell) = 0.00
# - ΔH_f (0 K) (eV/f.u.) = 0.045
# - N(E_F) (states/eV per atom) = 1.564
# - density (g cm⁻³) = 3.449